# 1
A relaxed structure of SrTa4Sb. Source: Alexandria, functional PBE.

## Properties
N(E_F)	1.614	states/eV per atom
E	-8.267	eV per atom
crystal system	cubic
space group	F-43m (216)
formation energy without anion corrections	602	meV/atom

```
SrTa4Sb
1.0
0.000 4.069 4.069
4.069 0.000 4.069
4.069 4.069 0.000
Sr Ta Sb
1 4 1
direct
0.000 0.000 0.000 Sr
0.113 0.629 0.629 Ta
0.629 0.113 0.629 Ta
0.629 0.629 0.113 Ta
0.629 0.629 0.629 Ta
0.250 0.250 0.250 Sb
```

=====

# 2
A relaxed structure of Eu2PtBr. Source: Alexandria, functional PBE.

## Properties
N(E_F)	5.002	states/eV per atom
polymorph energy (0 for the lowest one)	0	meV per atom
E	-8.337	eV per atom
crystal system	trigonal
space group	R-3m (166)
formation energy without anion corrections	-1272	meV/atom

```
Eu2PtBr
1.0
2.121 1.225 7.714
-2.121 1.225 7.714
0.000 -2.450 7.714
Eu Pt Br
2 1 1
direct
0.237 0.237 0.237 Eu
0.763 0.763 0.763 Eu
0.500 0.500 0.500 Pt
0.000 0.000 0.000 Br
```

=====

# 3
A relaxed structure of MgMnCr2. Source: Alexandria, functional PBE.

## Properties
N(E_F)	1.388	states/eV per atom
E	-6.768	eV per atom
E_form	0.73	eV/atom
crystal system	tetragonal
space group	I-42d (122)

```
MgMnCr2
1.0
-3.336 3.336 2.543
3.336 -3.336 2.543
3.336 3.336 -2.543
Mg Mn Cr
2 2 4
direct
0.000 0.000 0.000 Mg
0.750 0.250 0.500 Mg
0.250 0.750 0.500 Mn
0.500 0.500 0.000 Mn
0.184 0.625 0.059 Cr
0.375 0.434 0.559 Cr
0.566 0.125 0.941 Cr
0.875 0.816 0.441 Cr
```

=====

# 4
A relaxed structure of Hf4UP5. Source: Alexandria, functional PBE.

## Properties
N(E_F)	0.739	states/eV per atom
E	-9.033	eV per atom
E_form	-1.22	eV/atom
crystal system	monoclinic
space group	C2/m (12)

```
Hf4UP5
1.0
6.209 -1.869 0.000
6.209 1.869 0.000
-4.556 0.000 7.979
Hf U P
4 1 5
direct
0.099 0.099 0.403 Hf
0.302 0.302 0.207 Hf
0.698 0.698 0.793 Hf
0.901 0.901 0.597 Hf
0.500 0.500 0.000 U
0.105 0.105 0.897 P
0.298 0.298 0.693 P
0.500 0.500 0.500 P
0.702 0.702 0.307 P
0.895 0.895 0.103 P
```

=====

# 5
A relaxed structure of RbB2Pt. Source: Alexandria, functional PBE.

## Properties
N(E_F)	0.245	states/eV per atom
polymorph energy (0 for the lowest one)	0	meV per atom
E	-4.893	eV per atom
E_form	0.20	eV/atom
crystal system	tetragonal
space group	I4_1/amd (141)

```
RbB2Pt
1.0
-2.959 2.959 5.269
2.959 -2.959 5.269
2.959 2.959 -5.269
Rb B Pt
2 4 2
direct
0.375 0.625 0.750 Rb
0.625 0.375 0.250 Rb
0.000 0.000 0.000 B
0.000 0.000 0.500 B
0.000 0.500 0.000 B
0.500 0.000 0.500 B
0.125 0.875 0.250 Pt
0.875 0.125 0.750 Pt
```

=====

# 6
A relaxed structure of CaLaIn2. Source: Alexandria, functional PBE.

## Properties
N(E_F)	1.050	states/eV per atom
E	-3.430	eV per atom
E_form	-0.33	eV/atom
crystal system	tetragonal
space group	I-4m2 (119)

```
CaLaIn2
1.0
-2.396 2.396 5.228
2.396 -2.396 5.228
2.396 2.396 -5.228
Ca La In
1 1 2
direct
0.000 0.000 0.000 Ca
0.750 0.250 0.500 La
0.250 0.750 0.500 In
0.500 0.500 0.000 In
```

=====

# 7
A relaxed structure of BeHg. Source: Alexandria, functional PBE.

## Properties
N(E_F)	0.365	states/eV per atom
polymorph energy (0 for the lowest one)	124	meV per atom
E	-1.595	eV per atom
E_form	0.42	eV/atom
crystal system	cubic
space group	I-43m (217)

```
BeHg
1.0
-3.652 3.652 3.652
3.652 -3.652 3.652
3.652 3.652 -3.652
Be Hg
4 4
direct
0.000 0.000 0.795 Be
0.000 0.795 0.000 Be
0.205 0.205 0.205 Be
0.795 0.000 0.000 Be
0.000 0.000 0.429 Hg
0.000 0.429 0.000 Hg
0.429 0.000 0.000 Hg
0.571 0.571 0.571 Hg
```

=====

# 8
A relaxed structure of Nd2DyTe4. Source: Alexandria, functional PBE.

## Properties
N(E_F)	0.395	states/eV per atom
polymorph energy (0 for the lowest one)	32	meV per atom
E	-5.183	eV per atom
crystal system	orthorhombic
space group	Cmcm (63)
formation energy without anion corrections	-1368	meV/atom

```
Nd2DyTe4
1.0
2.145 -7.384 0.000
2.145 7.384 0.000
0.000 0.000 15.276
Nd Dy Te
4 2 8
direct
0.132 0.868 0.571 Nd
0.132 0.868 0.929 Nd
0.868 0.132 0.071 Nd
0.868 0.132 0.429 Nd
0.372 0.628 0.750 Dy
0.628 0.372 0.250 Dy
0.024 0.976 0.750 Te
0.218 0.782 0.126 Te
0.218 0.782 0.374 Te
0.500 0.500 0.000 Te
0.500 0.500 0.500 Te
0.782 0.218 0.626 Te
0.782 0.218 0.874 Te
0.976 0.024 0.250 Te
```

=====

# 9
A relaxed structure of OsN3F. Source: Alexandria, functional PBE.

## Properties
N(E_F)	0.519	states/eV per atom
E	-6.582	eV per atom
crystal system	cubic
space group	Pm-3m (221)
formation energy without anion corrections	1033	meV/atom

```
OsN3F
1.0
3.815 0.000 0.000
0.000 3.815 0.000
0.000 0.000 3.815
Os N F
1 3 1
direct
0.000 0.000 0.000 Os
0.000 0.000 0.500 N
0.000 0.500 0.000 N
0.500 0.000 0.000 N
0.500 0.500 0.500 F
```

=====

# 10
A relaxed structure of HoHfTl2. Source: Alexandria, functional PBE.

## Properties
N(E_F)	0.868	states/eV per atom
polymorph energy (0 for the lowest one)	0	meV per atom
E	-4.877	eV per atom
E_form	-0.06	eV/atom
crystal system	tetragonal
space group	P4/mmm (123)

```
HoHfTl2
1.0
3.315 0.000 0.000
0.000 3.315 0.000
0.000 0.000 8.876
Ho Hf Tl
1 1 2
direct
0.000 0.000 0.000 Ho
0.000 0.000 0.500 Hf
0.500 0.500 0.260 Tl
0.500 0.500 0.740 Tl
```

=====

# 11
A relaxed structure of LiCoHPd2. Source: Alexandria, functional PBE.

## Properties
N(E_F)	1.282	states/eV per atom
polymorph energy (0 for the lowest one)	20	meV per atom
E	-4.631	eV per atom
crystal system	tetragonal
space group	P4/mmm (123)

```
LiCoHPd2
1.0
3.924 0.000 0.000
0.000 3.924 0.000
0.000 0.000 3.703
Li Co H Pd
1 1 1 2
direct
0.000 0.000 0.000 Li
0.500 0.500 0.000 Co
0.000 0.000 0.500 H
0.000 0.500 0.500 Pd
0.500 0.000 0.500 Pd
```

=====

# 12
A relaxed structure of Ga7Ni2Ir2. Source: Alexandria, functional PBE.

## Properties
N(E_F)	0.438	states/eV per atom
E	-4.769	eV per atom
E_form	-0.18	eV/atom
crystal system	orthorhombic
space group	Cmmm (65)

```
Ga7Ni2Ir2
1.0
3.489 -4.241 0.000
3.489 4.241 0.000
0.000 0.000 6.228
Ga Ni Ir
7 2 2
direct
0.000 0.000 0.000 Ga
0.000 0.500 0.291 Ga
0.000 0.500 0.709 Ga
0.500 0.000 0.291 Ga
0.500 0.000 0.709 Ga
0.500 0.500 0.289 Ga
0.500 0.500 0.711 Ga
0.187 0.187 0.500 Ni
0.813 0.813 0.500 Ni
0.288 0.712 0.000 Ir
0.712 0.288 0.000 Ir
```

=====

# 13
A relaxed structure of Zr4AgPd. Source: Alexandria, functional PBE.

## Properties
N(E_F)	0.570	states/eV per atom
polymorph energy (0 for the lowest one)	0	meV per atom
E	-7.334	eV per atom
E_form	-0.29	eV/atom
crystal system	tetragonal
space group	P4/mmm (123)

```
Zr4AgPd
1.0
3.293 0.000 0.000
0.000 3.293 0.000
0.000 0.000 11.578
Zr Ag Pd
4 1 1
direct
0.000 0.000 0.152 Zr
0.000 0.000 0.848 Zr
0.500 0.500 0.330 Zr
0.500 0.500 0.670 Zr
0.000 0.000 0.500 Ag
0.500 0.500 0.000 Pd
```

=====

# 14
A relaxed structure of TbYPu2Te5. Source: Alexandria, functional PBE.

## Properties
N(E_F)	3.722	states/eV per atom
E	-6.840	eV per atom
crystal system	tetragonal
space group	P4/mmm (123)
formation energy without anion corrections	-677	meV/atom

```
TbYPu2Te5
1.0
5.558 0.000 0.000
0.000 5.558 0.000
0.000 0.000 11.551
Tb Y Pu Te
1 1 2 5
direct
0.000 0.000 0.000 Tb
0.000 0.000 0.500 Y
0.500 0.500 0.180 Pu
0.500 0.500 0.820 Pu
0.000 0.000 0.256 Te
0.000 0.000 0.744 Te
0.000 0.500 0.000 Te
0.500 0.000 0.000 Te
0.500 0.500 0.500 Te
```

=====

# 15
A relaxed structure of Sm8AgOs2. Source: Alexandria, functional PBE.

## Properties
N(E_F)	1.155	states/eV per atom
E	-5.800	eV per atom
E_form	-0.07	eV/atom
crystal system	monoclinic
space group	Cm (8)

```
Sm8AgOs2
1.0
4.399 -6.504 0.000
4.399 6.504 0.000
-1.465 0.000 5.594
Sm Ag Os
8 1 2
direct
0.000 0.000 0.000 Sm
0.049 0.312 0.614 Sm
0.139 0.621 0.205 Sm
0.312 0.049 0.614 Sm
0.448 0.710 0.796 Sm
0.621 0.139 0.205 Sm
0.710 0.448 0.796 Sm
0.760 0.760 0.410 Sm
0.380 0.380 0.206 Ag
0.070 0.689 0.705 Os
0.689 0.070 0.705 Os
```

=====

# 16
A relaxed structure of NaDySe2. Source: Alexandria, functional PBE.

## Properties
N(E_F)	0.000	states/eV per atom
polymorph energy (0 for the lowest one)	32	meV per atom
E	-4.898	eV per atom
crystal system	trigonal
space group	P-3m1 (164)
formation energy without anion corrections	-1675	meV/atom

```
NaDySe2
1.0
4.103 0.000 0.000
-2.052 3.553 0.000
0.000 0.000 7.275
Na Dy Se
1 1 2
direct
0.000 0.000 0.000 Na
0.000 0.000 0.500 Dy
0.333 0.667 0.726 Se
0.667 0.333 0.274 Se
```

=====

# 17
A relaxed structure of Cd3Pd12Pb. Source: Alexandria, functional PBE.

## Properties
N(E_F)	1.321	states/eV per atom
E	-4.541	eV per atom
E_form	-0.24	eV/atom
crystal system	tetragonal
space group	P4/mmm (123)

```
Cd3Pd12Pb
1.0
4.067 0.000 0.000
0.000 4.067 0.000
0.000 0.000 16.059
Cd Pd Pb
3 12 1
direct
0.000 0.000 0.000 Cd
0.000 0.000 0.247 Cd
0.000 0.000 0.753 Cd
0.000 0.500 0.123 Pd
0.000 0.500 0.372 Pd
0.000 0.500 0.628 Pd
0.000 0.500 0.877 Pd
0.500 0.000 0.123 Pd
0.500 0.000 0.372 Pd
0.500 0.000 0.628 Pd
0.500 0.000 0.877 Pd
0.500 0.500 0.000 Pd
0.500 0.500 0.247 Pd
0.500 0.500 0.500 Pd
0.500 0.500 0.753 Pd
0.000 0.000 0.500 Pb
```

=====

# 18
A relaxed structure of RbVTe2I. Source: Alexandria, functional PBE.

## Properties
N(E_F)	2.228	states/eV per atom
polymorph energy (0 for the lowest one)	1577	meV per atom
E	-2.471	eV per atom
crystal system	tetragonal
space group	P4/mmm (123)
formation energy without anion corrections	1112	meV/atom

```
RbVTe2I
1.0
6.494 0.000 0.000
0.000 6.494 0.000
0.000 0.000 6.454
Rb V Te I
1 1 2 1
direct
0.000 0.000 0.000 Rb
0.500 0.500 0.500 V
0.000 0.500 0.000 Te
0.500 0.000 0.000 Te
0.000 0.000 0.500 I
```

=====

# 19
A relaxed structure of BaBePt. Source: Alexandria, functional PBE.

## Properties
N(E_F)	0.753	states/eV per atom
polymorph energy (0 for the lowest one)	336	meV per atom
E	-4.121	eV per atom
E_form	-0.22	eV/atom
crystal system	tetragonal
space group	I4mm (107)

```
BaBePt
1.0
-1.678 1.678 5.713
1.678 -1.678 5.713
1.678 1.678 -5.713
Ba Be Pt
1 1 1
direct
0.000 0.000 0.000 Ba
0.733 0.733 0.000 Be
0.273 0.273 0.000 Pt
```

=====

# 20
A relaxed structure of TbCdHg4. Source: Alexandria, functional PBE.

## Properties
N(E_F)	0.398	states/eV per atom
polymorph energy (0 for the lowest one)	68	meV per atom
E	-1.206	eV per atom
E_form	-0.08	eV/atom
crystal system	tetragonal
space group	P4/mmm (123)

```
TbCdHg4
1.0
4.382 0.000 0.000
0.000 4.382 0.000
0.000 0.000 8.970
Tb Cd Hg
1 1 4
direct
0.000 0.000 0.000 Tb
0.500 0.500 0.500 Cd
0.000 0.500 0.250 Hg
0.000 0.500 0.750 Hg
0.500 0.000 0.250 Hg
0.500 0.000 0.750 Hg
```